First-principles (GGA-PBE) data for an optimized crystal structure of LiAl6Zn12, as listed in Alexandria via LeMat-Bulk.

Computed properties:
Crystal system: trigonal
Space-group type: R-3m
Density of states at the Fermi level, states/eV/cell: 6.64
Energy of formation from the pure elements, eV per atom: 0.070
Polymorph energy (0 for the lowest one), kJ/mol of atoms: 8.45

a = 7.2543 Å, b = 7.2543 Å, c = 7.2543 Å
α = 105.66°, β = 105.66°, γ = 105.66°
Sites, in units of the cell vectors:
Li1 0.0000 0.0000 0.0000
Al1 0.2915 0.6879 0.6879
Al2 0.3121 0.3121 0.7085
Al3 0.3121 0.7085 0.3121
Al4 0.6879 0.2915 0.6879
Al5 0.6879 0.6879 0.2915
Al6 0.7085 0.3121 0.3121
Zn1 0.1086 0.3413 0.3413
Zn2 0.1093 0.5000 0.8907
Zn3 0.1093 0.8907 0.5000
Zn4 0.3413 0.1086 0.3413
Zn5 0.3413 0.3413 0.1086
Zn6 0.5000 0.1093 0.8907
Zn7 0.5000 0.8907 0.1093
Zn8 0.6587 0.6587 0.8914
Zn9 0.6587 0.8914 0.6587
Zn10 0.8907 0.1093 0.5000
Zn11 0.8907 0.5000 0.1093
Zn12 0.8914 0.6587 0.6587